a.
4
Lattice="2.4603 0.0000 0.0352 0.0000 3.4751 0.0000 -0.0707 0.0000 4.9392" Properties=species:S:1:pos:R:3 comment="FeCo2Ni (meta-GGA SCAN, PBEsol geometry)" vol_a3_per_atom=10.56 total_magnetization_mub_per_cell=6.989 pbc="T T T"
Co 1.2133 1.7375 1.2136
Co -0.0001 0.0000 0.0292
Ni 1.1768 1.7375 3.7294
Fe 2.4245 0.0000 2.5069

---

b.
4
Lattice="-1.2395 0.7446 -1.9851 -0.0390 -3.2598 -1.1983 -4.2748 -0.8174 2.3625" Properties=species:S:1:pos:R:3 comment="FeCo2Ni (meta-GGA SCAN, PBEsol geometry)" vol_a3_per_atom=10.56 total_magnetization_mub_per_cell=7.051 pbc="T T T"
Co -2.3183 0.5381 -1.3883
Co -3.1960 -0.6109 1.7657
Ni -2.7766 -1.6663 -0.4105
Fe -0.6392 -1.2576 -1.5917

---

Winner for stability: a

---

a.
4
Lattice="-1.8993 1.4368 0.5482 -1.5061 -1.9142 -0.1989 0.9041 -1.4247 6.8668" Properties=species:S:1:pos:R:3 comment="FeCo2Ni (meta-GGA SCAN, PBEsol geometry)" vol_a3_per_atom=10.56 total_magnetization_mub_per_cell=7.012 pbc="T T T"
Fe -1.2507 -0.9511 3.6080
Ni -1.7027 -0.2387 0.1746
Co 0.2225 -0.3507 1.6902
Co 0.6815 -1.0740 5.1766

---

b.
4
Lattice="-0.2489 -0.9379 3.3323 -3.1239 -1.3787 -0.6214 1.5036 -3.0681 -0.7513" Properties=species:S:1:pos:R:3 comment="FeCo2Ni (meta-GGA SCAN, PBEsol geometry)" vol_a3_per_atom=10.54 total_magnetization_mub_per_cell=6.955 pbc="T T T"
Co -0.1245 -0.4690 1.6661
Co -1.5620 -0.6894 -0.3107
Fe -0.9346 -2.6924 0.9798
Ni 0.7518 -1.5341 -0.3756

---

Winner for stability: b

---

a.
3
Lattice="-2.1082 1.1375 -0.0936 -1.2851 -2.6008 -2.6632 -0.5397 -0.6844 3.8404" Properties=species:S:1:pos:R:3 comment="FeCoNi (meta-GGA SCAN, PBEsol geometry)" vol_a3_per_atom=10.73 total_magnetization_mub_per_cell=5.225 pbc="T T T"
Fe -2.4842 -1.1810 -0.5596
Ni -1.5523 -0.9109 1.6386
Co -2.0046 1.0816 -0.0890

---

b.
3
Lattice="-0.8627 -0.5379 2.2285 2.2892 -0.0744 0.8683 -0.9797 5.4807 -0.4026" Properties=species:S:1:pos:R:3 comment="FeCoNi (meta-GGA SCAN, PBEsol geometry)" vol_a3_per_atom=10.61 total_magnetization_mub_per_cell=5.263 pbc="T T T"
Fe 0.6243 1.4201 1.9306
Co 0.4478 4.8479 2.6896
Ni -0.1786 3.4689 0.7681

---

Winner for stability: a

---

a.
3
Lattice="-1.6947 1.8470 0.8399 -0.9006 -2.3491 -0.8118 0.4863 -2.1894 5.7958" Properties=species:S:1:pos:R:3 comment="FeCoPt (meta-GGA SCAN, PBEsol geometry)" vol_a3_per_atom=12.54 total_magnetization_mub_per_cell=5.048 pbc="T T T"
Fe -0.8334 -2.4447 3.6944
Pt -1.2676 -0.2831 2.2253
Co 0.4783 -2.1532 5.6999

---

b.
3
Lattice="3.9290 0.0000 0.0000 1.9645 3.4026 0.0000 1.9645 1.1342 3.2080" Properties=species:S:1:pos:R:3 comment="FeCoPt (meta-GGA SCAN, PBEsol geometry)" vol_a3_per_atom=14.30 total_magnetization_mub_per_cell=5.025 pbc="T T T"
Pt 0.0000 0.0000 0.0000
Fe 1.9645 1.1342 0.8020
Co 3.9290 2.2684 1.6040

---

Winner for stability: a

---

a.
4
Lattice="4.0333 0.0000 0.0000 2.0166 3.4929 0.0000 2.0166 1.1643 3.2932" Properties=species:S:1:pos:R:3 comment="FeCo2Re (meta-GGA SCAN, PBEsol geometry)" vol_a3_per_atom=11.60 total_magnetization_mub_per_cell=6.026 pbc="T T T"
Re 4.0333 2.3286 1.6466
Co 6.0499 3.4929 2.4699
Co 2.0166 1.1643 0.8233
Fe 0.0000 0.0000 0.0000

---

b.
4
Lattice="-0.3426 2.4183 0.8554 -2.5047 -0.1292 -0.6378 -1.4641 -2.4139 6.2384" Properties=species:S:1:pos:R:3 comment="FeCo2Re (meta-GGA SCAN, PBEsol geometry)" vol_a3_per_atom=11.46 total_magnetization_mub_per_cell=5.559 pbc="T T T"
Re -2.5264 -0.6737 4.8077
Co -0.0217 -0.0358 0.0924
Co -1.7884 0.5432 1.6628
Fe -0.7069 -1.1656 3.0122

---

Winner for stability: b

---

a.
4
Lattice="3.5541 0.0000 0.0000 0.0000 3.5541 0.0000 -1.7771 -1.7771 3.5414" Properties=species:S:1:pos:R:3 comment="FeCo2Re (meta-GGA SCAN, PBEsol geometry)" vol_a3_per_atom=11.18 total_magnetization_mub_per_cell=2.937 pbc="T T T"
Re 0.0000 0.0000 0.0000
Co 0.0000 1.7771 1.7707
Co 1.7771 0.0000 1.7707
Fe 1.7771 1.7771 0.0000

---

b.
4
Lattice="-0.6860 -1.1510 3.2980 -0.2271 -3.3399 -1.2105 3.8848 1.8096 -0.4831" Properties=species:S:1:pos:R:3 comment="FeCo2Re (meta-GGA SCAN, PBEsol geometry)" vol_a3_per_atom=11.09 total_magnetization_mub_per_cell=2.135 pbc="T T T"
Re 1.6005 -1.8879 -0.3250
Co -0.2271 -3.3399 -1.2105
Co 1.3714 -0.7934 1.9295
Fe 3.4281 -0.4360 0.5603

---

Winner for stability: a